# GGA-PBE BeInPd6, relaxed
# * size of the total moment: 0.00 μB per formula unit
# * formation energy: -0.18 eV per atom
# * E_tot: -78.15 eV for the cell shown
data_BeInPd6
_chemical_formula_sum 'Be2 In2 Pd12'
_cell_length_a 7.733
_cell_length_b 5.584
_cell_length_c 7.245
_cell_angle_alpha 90.00
_cell_angle_beta 121.04
_cell_angle_gamma 90.00
_symmetry_space_group_name_H-M 'C 1 2/m 1'
_symmetry_Int_Tables_number 12
loop_
_symmetry_equiv_pos_as_xyz
'x,y,z'
'-x,-y,-z'
'-x,y,-z'
'x,-y,z'
'x+1/2,y+1/2,z'
'-x+1/2,-y+1/2,-z'
'-x+1/2,y+1/2,-z'
'x+1/2,-y+1/2,z'
loop_
_atom_site_label
_atom_site_fract_x
_atom_site_fract_y
_atom_site_fract_z
_atom_site_occupancy
Be1 0.000 0.000 0.000 1
In1 0.000 0.500 0.500 1
Pd1 0.147 0.254 0.273 1
Pd2 0.216 0.500 0.988 1